Ba2CaNi (SCAN, single point on PBEsol structure); energy of formation from the pure elements = 181 meV per atom; calculated density = 4.24 g/cm³; space group = No. 123; uncorrected energy = -26.053 eV/atom; M_tot = 0.047 μB/atom; V = 36.597 Å³/atom; crystal system = tetragonal
1.0
3.7984 0.0000 0.0000
0.0000 3.7984 0.0000
0.0000 0.0000 10.1464
Ba Ca Ni
2 1 1
direct
0.0000 0.0000 0.3260
0.0000 0.0000 0.6740
0.5000 0.5000 0.0000
0.5000 0.5000 0.5000

=====

CaLa3Cu (SCAN, single point on PBEsol structure); energy of formation from the pure elements = 1116 meV per atom; calculated density = 4.84 g/cm³; space group = No. 221; uncorrected energy = -29.719 eV/atom; M_tot = 0.000 μB/atom; V = 35.730 Å³/atom; crystal system = cubic
1.0
5.6320 0.0000 0.0000
0.0000 5.6320 0.0000
0.0000 0.0000 5.6320
La Cu Ca
3 1 1
direct
0.0000 0.0000 0.5000
0.0000 0.5000 0.0000
0.5000 0.0000 0.0000
0.5000 0.5000 0.5000
0.0000 0.0000 0.0000

=====

KAlF4 (SCAN, single point on PBEsol structure); calculated density = 2.66 g/cm³; space group = No. 62; uncorrected energy = -8.647 eV/atom; M_tot = 0.015 μB/atom; V = 14.808 Å³/atom; formation energy (no corrections) = -3.607 eV/atom; crystal system = orthorhombic
1.0
7.2870 0.0000 0.0000
0.0000 8.2602 0.0000
0.0000 0.0000 11.8090
Al K F
8 8 32
direct
0.0027 0.1308 0.4163
0.9973 0.3692 0.9163
0.5027 0.8692 0.5837
0.4973 0.1308 0.4163
0.9973 0.8692 0.5837
0.4973 0.6308 0.0837
0.5027 0.3692 0.9163
0.0027 0.6308 0.0837
0.2500 0.1303 0.7479
0.2500 0.5689 0.3967
0.2500 0.6303 0.7521
0.7500 0.4311 0.6033
0.7500 0.3697 0.2479
0.7500 0.9311 0.8967
0.2500 0.0689 0.1033
0.7500 0.8697 0.2521
0.9930 0.0971 0.5726
0.0164 0.1585 0.9289
0.5070 0.0971 0.5726
0.4930 0.9029 0.4274
0.4836 0.1585 0.9289
0.0010 0.3801 0.7677
0.4990 0.8801 0.7323
0.0164 0.6585 0.5711
0.2500 0.1368 0.4234
0.0070 0.9029 0.4274
0.9990 0.6199 0.2323
0.7500 0.3632 0.9234
0.9836 0.3415 0.4289
0.0010 0.8801 0.7323
0.9990 0.1199 0.2677
0.5010 0.6199 0.2323
0.2500 0.3868 0.9158
0.9930 0.5971 0.9274
0.0070 0.4029 0.0726
0.7500 0.1132 0.4158
0.4990 0.3801 0.7677
0.4930 0.4029 0.0726
0.9836 0.8415 0.0711
0.4836 0.6585 0.5711
0.2500 0.6368 0.0766
0.5164 0.3415 0.4289
0.7500 0.8632 0.5766
0.5070 0.5971 0.9274
0.7500 0.6132 0.0842
0.2500 0.8868 0.5842
0.5164 0.8415 0.0711
0.5010 0.1199 0.2677

=====

KTeF2 (SCAN, single point on PBEsol structure); calculated density = 4.25 g/cm³; space group = No. 166; uncorrected energy = -14.384 eV/atom; polymorph energy (0 for the lowest one) = 116.1 meV per atom; M_tot = 0.000 μB/atom; V = 19.999 Å³/atom; formation energy (no corrections) = -1.219 eV/atom; crystal system = trigonal
1.0
-2.2583 -0.4800 -2.3334
-1.1549 -3.0193 -0.5701
-7.3586 0.1267 4.7868
F K Te
2 1 1
direct
0.9114 0.9114 0.2659
0.0886 0.0886 0.7341
0.0000 0.0000 0.0000
0.5000 0.5000 0.5000

=====

CdHgAs2 (SCAN, single point on PBEsol structure); energy of formation from the pure elements = 11 meV per atom; calculated density = 8.25 g/cm³; space group = No. 12; uncorrected energy = -34.730 eV/atom; M_tot = 0.000 μB/atom; V = 23.293 Å³/atom; crystal system = monoclinic
1.0
-3.3313 -1.1582 -0.2660
1.6026 -4.3339 -1.1999
0.9286 1.3358 6.0676
Hg As Cd
1 2 1
direct
0.5000 0.5000 0.0000
0.2467 0.1743 0.4935
0.7533 0.8257 0.5065
0.0000 0.0000 0.0000

=====

LiInOs2 (SCAN, single point on PBEsol structure); energy of formation from the pure elements = 114 meV per atom; calculated density = 14.62 g/cm³; space group = No. 99; uncorrected energy = -44.770 eV/atom; M_tot = 0.000 μB/atom; V = 14.258 Å³/atom; crystal system = tetragonal
1.0
-2.3949 -1.1819 -1.2832
-0.8055 -1.1841 2.5939
-3.3928 5.3614 1.3939
In Os Li
1 2 1
direct
0.0000 0.0000 0.5231
0.5000 0.5000 0.2245
0.0000 0.0000 0.9857
0.5000 0.5000 0.7668